VASP calculation (PBE) on a relaxed structure of ScFeGeW.

Results
The calculation puts the energy above the most stable polymorph in this dataset at 0 meV/atom. The total magnetization comes out at 2.7 μB/f.u. The value obtained for the total energy is -7.7805 eV/atom. The value obtained for the density is 9.61 Mg/m³.

Unit cell a=4.437 b=4.437 c=4.437 alpha=60.00 beta=60.00 gamma=60.00
Positions (direct):
Fe (0.750, 0.750, 0.750)
Ge (0.000, 0.000, 0.000)
Sc (0.250, 0.250, 0.250)
W (0.500, 0.500, 0.500)

---

VASP calculation (PBE) on a relaxed structure of GdOs2.

Results
The total magnetization comes out at 1.2 μB/f.u. The value obtained for the total energy is -7.3990 eV/atom. For the formation energy, the calculation gives 4.91 eV/f.u. The value obtained for the density is 14.08 Mg/m³.

Unit cell a=4.476 b=4.476 c=4.476 alpha=60.00 beta=60.00 gamma=60.00
Positions (direct):
Gd (0.000, 0.000, 0.000)
Os (0.250, 0.250, 0.250)
Os (0.750, 0.750, 0.750)

---

VASP calculation (PBE) on a relaxed structure of DyGeB.

Results
The calculation puts the energy above the most stable polymorph in this dataset at 0 meV/atom. The total magnetization comes out at 0.0 μB/f.u. The value obtained for the total energy is -5.3896 eV/atom. The value obtained for the density is 7.29 Mg/m³.

Unit cell a=6.728 b=6.728 c=3.534 alpha=90.00 beta=90.00 gamma=135.55
Positions (direct):
B (0.690, 0.310, 0.250)
B (0.310, 0.690, 0.750)
Dy (0.157, 0.843, 0.250)
Dy (0.843, 0.157, 0.750)
Ge (0.400, 0.600, 0.250)
Ge (0.600, 0.400, 0.750)

---

- Look up the total magnetization of the third one.
  0.0 μB/f.u.

---

- The lowest total magnetization belongs to which entry?
  DyGeB